Compound: TbPuBrO4
Source: Alexandria via LeMat-Bulk
Functional: PBE
Structure: optimized geometry

Properties
- D(E_F): 5.87 states/eV/f.u.
- Symmetry: C2/m
- Formation energy (no corrections): -2469 meV/atom

Cell: 7.2812 7.2812 6.4794 Å, 74.06 74.06 57.14°
Sites, in units of the cell vectors:
Tb (0.2375, 0.2375, 0.9052)
Tb (0.7625, 0.7625, 0.0948)
Br (0.0122, 0.0122, 0.7464)
Br (0.9878, 0.9878, 0.2536)
O (0.5748, 0.5748, 0.0929)
O (0.4252, 0.4252, 0.9071)
O (0.0775, 0.4634, 0.1875)
O (0.9225, 0.5366, 0.8125)
O (0.3433, 0.3433, 0.5347)
O (0.4634, 0.0775, 0.1875)
O (0.5366, 0.9225, 0.8125)
O (0.6567, 0.6567, 0.4653)
Pu (0.3832, 0.3832, 0.2307)
Pu (0.6168, 0.6168, 0.7693)